LaTm2Mg9, optimized geometry, DFT PBE-GGA; ΔE_f = -0.06 eV/atom; symmetry = R-3m; magnetic moment = 0.0 μB per formula unit
1.0
3.025 1.746 9.779
-3.025 1.746 9.779
0.000 -3.492 9.779
La Tm Mg
1 2 9
direct
0.000 0.000 0.000
0.146 0.146 0.146
0.854 0.854 0.854
0.080 0.588 0.588
0.334 0.334 0.334
0.412 0.412 0.920
0.412 0.920 0.412
0.500 0.500 0.500
0.588 0.080 0.588
0.588 0.588 0.080
0.666 0.666 0.666
0.920 0.412 0.412

=====

Ac8AgIr4, optimized geometry, DFT PBE-GGA; energy relative to the lowest polymorph listed for this composition = 0.0 meV/atom; ΔE_f = -0.51 eV/atom; symmetry = Cm; magnetic moment = 0.0 μB per formula unit
1.0
10.569 -2.215 0.000
10.569 2.215 0.000
-10.320 0.000 10.735
Ac Ag Ir
8 1 4
direct
0.000 0.000 0.000
0.001 0.001 0.731
0.302 0.302 0.944
0.306 0.306 0.679
0.342 0.342 0.382
0.606 0.606 0.625
0.696 0.696 0.058
0.957 0.957 0.289
0.665 0.665 0.255
0.326 0.326 0.166
0.501 0.501 0.863
0.801 0.801 0.808
0.977 0.977 0.509

=====

Pr2ErSc2In5, optimized geometry, DFT PBE-GGA; ΔE_f = -0.37 eV/atom; symmetry = P4/mbm; magnetic moment = 0.0 μB per formula unit
1.0
10.670 0.000 0.000
0.000 10.670 0.000
0.000 0.000 4.662
Pr Er Sc In
4 2 4 10
direct
0.180 0.320 0.000
0.320 0.820 0.000
0.680 0.180 0.000
0.820 0.680 0.000
0.000 0.000 0.000
0.500 0.500 0.000
0.118 0.618 0.000
0.382 0.118 0.000
0.618 0.882 0.000
0.882 0.382 0.000
0.000 0.500 0.500
0.061 0.798 0.500
0.202 0.061 0.500
0.298 0.561 0.500
0.439 0.298 0.500
0.500 0.000 0.500
0.561 0.702 0.500
0.702 0.439 0.500
0.798 0.939 0.500
0.939 0.202 0.500

=====

CaTmTh2, optimized geometry, DFT PBE-GGA; energy relative to the lowest polymorph listed for this composition = 0.0 meV/atom; ΔE_f = 0.18 eV/atom; symmetry = P4/mmm; magnetic moment = 0.0 μB per formula unit
1.0
5.037 0.000 0.000
0.000 5.037 0.000
0.000 0.000 5.164
Ca Tm Th
1 1 2
direct
0.000 0.000 0.000
0.500 0.500 0.000
0.000 0.500 0.500
0.500 0.000 0.500

=====

LiCd3Mo, optimized geometry, DFT PBE-GGA; energy relative to the lowest polymorph listed for this composition = 11.9 meV/atom; ΔE_f = 0.81 eV/atom; symmetry = Pm-3m; magnetic moment = 2.5 μB per formula unit
1.0
5.401 0.000 0.000
0.000 5.401 0.000
0.000 0.000 5.401
Li Cd Mo
1 3 1
direct
0.000 0.000 0.000
0.000 0.500 0.500
0.500 0.000 0.500
0.500 0.500 0.000
0.500 0.500 0.500

=====

MgP, optimized geometry, DFT PBE-GGA; energy relative to the lowest polymorph listed for this composition = 308.9 meV/atom; ΔE_f = -0.21 eV/atom; symmetry = Fm-3m; magnetic moment = 0.0 μB per formula unit
1.0
0.000 2.666 2.666
2.666 0.000 2.666
2.666 2.666 0.000
Mg P
1 1
direct
0.000 0.000 0.000
0.500 0.500 0.500

=====

KZrTa2, optimized geometry, DFT PBE-GGA; energy relative to the lowest polymorph listed for this composition = 223.3 meV/atom; ΔE_f = 0.76 eV/atom; symmetry = P4/mmm; magnetic moment = 0.0 μB per formula unit
1.0
2.911 0.000 0.000
0.000 2.911 0.000
0.000 0.000 11.267
K Zr Ta
1 1 2
direct
0.000 0.000 0.000
0.000 0.000 0.500
0.500 0.500 0.293
0.500 0.500 0.707

=====

Li2InHPb, optimized geometry, DFT PBE-GGA; energy relative to the lowest polymorph listed for this composition = 42.6 meV/atom; symmetry = P4/mmm; magnetic moment = 0.0 μB per formula unit
1.0
4.453 0.000 0.000
0.000 4.453 0.000
0.000 0.000 4.655
Li In H Pb
2 1 1 1
direct
0.000 0.500 0.000
0.500 0.000 0.000
0.000 0.000 0.500
0.500 0.500 0.000
0.500 0.500 0.500

=====

Sm4BiSbSe2, optimized geometry, DFT PBE-GGA; raw formation energy = -1.4257 eV/atom; symmetry = P2/m; magnetic moment = 0.0 μB per formula unit
1.0
7.518 0.000 0.000
0.000 4.358 0.000
-2.531 0.000 7.102
Sm Bi Sb Se
4 1 1 2
direct
0.232 0.000 0.240
0.236 0.500 0.749
0.764 0.500 0.251
0.768 0.000 0.760
0.500 0.500 0.500
0.500 0.000 0.000
0.000 0.000 0.500
0.000 0.500 0.000

=====

CeGaCoN, optimized geometry, DFT PBE-GGA; raw formation energy = -0.8199 eV/atom; symmetry = P4/nmm; magnetic moment = 0.0 μB per formula unit
1.0
3.695 0.000 0.000
0.000 3.695 0.000
0.000 0.000 8.869
Ce Ga Co N
2 2 2 2
direct
0.250 0.250 0.146
0.750 0.750 0.854
0.250 0.750 0.500
0.750 0.250 0.500
0.250 0.250 0.682
0.750 0.750 0.318
0.250 0.250 0.887
0.750 0.750 0.113

=====

HoSi2PdPt2, optimized geometry, DFT PBE-GGA; raw formation energy = -0.9752 eV/atom; symmetry = P-3m1; magnetic moment = 0.0 μB per formula unit
1.0
4.186 0.000 0.000
-2.093 3.625 0.000
0.000 0.000 6.730
Ho Si Pd Pt
1 2 1 2
direct
0.000 0.000 0.000
0.333 0.667 0.312
0.667 0.333 0.688
0.000 0.000 0.500
0.333 0.667 0.715
0.667 0.333 0.285

=====

Cs2H2I3, optimized geometry, DFT PBE-GGA; energy relative to the lowest polymorph listed for this composition = 254.5 meV/atom; symmetry = P2/m; magnetic moment = 0.0 μB per formula unit
1.0
6.097 0.000 0.000
0.000 4.968 0.000
-1.201 0.000 9.786
Cs H I
2 2 3
direct
0.185 0.000 0.302
0.815 0.000 0.698
0.131 0.500 0.822
0.869 0.500 0.178
0.000 0.500 0.000
0.316 0.500 0.641
0.684 0.500 0.359

=====

Dy6Cu2Bi, optimized geometry, DFT PBE-GGA; ΔE_f = -0.27 eV/atom; symmetry = Immm; magnetic moment = 0.0 μB per formula unit
1.0
-4.631 4.904 5.337
4.631 -4.904 5.337
4.631 4.904 -5.337
Dy Cu Bi
12 4 2
direct
0.026 0.230 0.797
0.189 0.293 0.482
0.189 0.707 0.896
0.320 0.009 0.689
0.320 0.630 0.311
0.433 0.230 0.203
0.567 0.770 0.797
0.680 0.370 0.689
0.680 0.991 0.311
0.811 0.293 0.104
0.811 0.707 0.518
0.974 0.770 0.203
0.117 0.617 0.500
0.357 0.000 0.357
0.643 0.000 0.643
0.883 0.383 0.500
0.000 0.000 0.000
0.500 0.500 0.000

=====

TmLu2O, optimized geometry, DFT PBE-GGA; energy relative to the lowest polymorph listed for this composition = 543.9 meV/atom; raw formation energy = -0.8258 eV/atom; symmetry = P4/mmm; magnetic moment = 0.0 μB per formula unit
1.0
3.139 0.000 0.000
0.000 3.139 0.000
0.000 0.000 8.420
Tm Lu O
1 2 1
direct
0.000 0.000 0.000
0.500 0.500 0.318
0.500 0.500 0.682
0.000 0.000 0.500

=====

CePu2Hg, optimized geometry, DFT PBE-GGA; energy relative to the lowest polymorph listed for this composition = 18.0 meV/atom; ΔE_f = -0.01 eV/atom; symmetry = Fm-3m; magnetic moment = 13.9 μB per formula unit
1.0
0.000 3.711 3.711
3.711 0.000 3.711
3.711 3.711 0.000
Ce Pu Hg
1 2 1
direct
0.000 0.000 0.000
0.250 0.250 0.250
0.750 0.750 0.750
0.500 0.500 0.500

=====

PuPb2Au9, optimized geometry, DFT PBE-GGA; ΔE_f = -0.13 eV/atom; symmetry = R-3m; magnetic moment = 5.8 μB per formula unit
1.0
2.830 1.634 9.397
-2.830 1.634 9.397
0.000 -3.268 9.397
Pu Pb Au
1 2 9
direct
0.000 0.000 0.000
0.144 0.144 0.144
0.856 0.856 0.856
0.081 0.584 0.584
0.333 0.333 0.333
0.416 0.416 0.919
0.416 0.919 0.416
0.500 0.500 0.500
0.584 0.081 0.584
0.584 0.584 0.081
0.667 0.667 0.667
0.919 0.416 0.416

=====

Cr2IrAu, optimized geometry, DFT PBE-GGA; energy relative to the lowest polymorph listed for this composition = 24.9 meV/atom; ΔE_f = 0.14 eV/atom; symmetry = P4/mmm; magnetic moment = 2.1 μB per formula unit
1.0
2.703 0.000 0.000
0.000 2.703 0.000
0.000 0.000 7.741
Cr Ir Au
2 1 1
direct
0.000 0.000 0.233
0.000 0.000 0.767
0.500 0.500 0.000
0.500 0.500 0.500

=====

TcMoIrRu, optimized geometry, DFT PBE-GGA; ΔE_f = -0.10 eV/atom; symmetry = I-4m2; magnetic moment = 0.0 μB per formula unit
1.0
-1.939 1.939 3.902
1.939 -1.939 3.902
1.939 1.939 -3.902
Tc Mo Ir Ru
1 1 1 1
direct
0.000 0.000 0.000
0.750 0.250 0.500
0.500 0.500 0.000
0.250 0.750 0.500

=====

AcAsP2O8, optimized geometry, DFT PBE-GGA; raw formation energy = -2.2731 eV/atom; symmetry = C2/m; magnetic moment = 0.0 μB per formula unit
1.0
4.709 -2.668 0.000
4.709 2.668 0.000
-2.393 0.000 5.885
Ac As P O
1 1 2 8
direct
0.000 0.000 0.000
0.500 0.500 0.500
0.211 0.211 0.665
0.789 0.789 0.335
0.084 0.617 0.244
0.152 0.152 0.409
0.383 0.916 0.756
0.391 0.391 0.767
0.609 0.609 0.233
0.617 0.084 0.244
0.848 0.848 0.591
0.916 0.383 0.756

=====

TeOsBr2, optimized geometry, DFT PBE-GGA; energy relative to the lowest polymorph listed for this composition = 464.5 meV/atom; raw formation energy = 0.5316 eV/atom; symmetry = R-3m; magnetic moment = 0.1 μB per formula unit
1.0
1.824 1.053 9.697
-1.824 1.053 9.697
0.000 -2.107 9.697
Te Os Br
1 1 2
direct
0.000 0.000 0.000
0.500 0.500 0.500
0.214 0.214 0.214
0.786 0.786 0.786

=====

Tb2Co3B, optimized geometry, DFT PBE-GGA; ΔE_f = 0.19 eV/atom; symmetry = Immm; magnetic moment = 2.2 μB per formula unit
1.0
-1.575 2.166 7.145
1.575 -2.166 7.145
1.575 2.166 -7.145
Tb Co B
2 3 1
direct
0.178 0.178 0.000
0.822 0.822 0.000
0.000 0.500 0.500
0.416 0.916 0.500
0.584 0.084 0.500
0.500 0.500 0.000

=====

MgNb2F, optimized geometry, DFT PBE-GGA; energy relative to the lowest polymorph listed for this composition = 0.0 meV/atom; raw formation energy = 0.3334 eV/atom; symmetry = I4_1/amd; magnetic moment = 0.0 μB per formula unit
1.0
-2.482 2.482 7.181
2.482 -2.482 7.181
2.482 2.482 -7.181
Mg Nb F
2 4 2
direct
0.375 0.625 0.750
0.625 0.375 0.250
0.000 0.000 0.000
0.000 0.000 0.500
0.000 0.500 0.000
0.500 0.000 0.500
0.125 0.875 0.250
0.875 0.125 0.750

=====

BaRh2S2, optimized geometry, DFT PBE-GGA; raw formation energy = -0.7323 eV/atom; symmetry = I4/mmm; magnetic moment = 0.0 μB per formula unit
1.0
-2.283 2.283 4.872
2.283 -2.283 4.872
2.283 2.283 -4.872
Ba Rh S
1 2 2
direct
0.000 0.000 0.000
0.327 0.327 0.000
0.673 0.673 0.000
0.250 0.750 0.500
0.750 0.250 0.500

=====

TbPa2AlC4, optimized geometry, DFT PBE-GGA; ΔE_f = -0.25 eV/atom; symmetry = Cmcm; magnetic moment = 0.0 μB per formula unit
1.0
1.808 -5.846 0.000
1.808 5.846 0.000
0.000 0.000 11.878
Tb Pa Al C
2 4 2 8
direct
0.109 0.891 0.750
0.891 0.109 0.250
0.370 0.630 0.552
0.370 0.630 0.948
0.630 0.370 0.052
0.630 0.370 0.448
0.154 0.846 0.250
0.846 0.154 0.750
0.000 0.000 0.000
0.000 0.000 0.500
0.257 0.743 0.116
0.257 0.743 0.384
0.440 0.560 0.750
0.560 0.440 0.250
0.743 0.257 0.616
0.743 0.257 0.884

=====

| no. | D(E_F) (states/eV/f.u.) | ρ (kg/m³) |
| --- | --- | --- |
| 1 | 10.7 | 3727 |
| 2 | 7.1 | 8894 |
| 3 | 8.6 | 6966 |
| 4 | 5.0 | 8530 |
| 5 | 3.9 | 4639 |
| 6 | 1.8 | 2422 |
| 7 | 5.0 | 8562 |
| 8 | 1.8 | 6061 |
| 9 | 3.6 | 7779 |
| 10 | 3.8 | 7757 |
| 11 | 1.3 | 11672 |
| 12 | 1.2 | 3633 |
| 13 | 8.3 | 8981 |
| 14 | 5.1 | 10704 |
| 15 | 12.3 | 13462 |
| 16 | 23.0 | 15483 |
| 17 | 5.0 | 14480 |
| 18 | 4.1 | 13787 |
| 19 | 0.0 | 5525 |
| 20 | 5.4 | 7095 |
| 21 | 5.3 | 8610 |
| 22 | 4.6 | 4301 |
| 23 | 1.4 | 6658 |
| 24 | 2.3 | 9204 |